Computed, not measured: crystalline SrCo6O11 at its relaxed geometry at the PBE+U level of DFT.

Cell lengths 5.5895, 5.5895, 12.6000 Å; angles 90.00, 90.00, 120.00 degrees
Last column: magnetic moment on the atom in μB.
Sites, in units of the cell vectors:
Co 0.0000 0.0000 0.3513  0.07
Co 0.3333 0.6667 0.7500  2.45
Co 0.6667 0.3333 0.2500  2.45
Co 0.5000 0.0000 0.0000  1.04
Co 0.0000 0.5000 0.5000  1.04
Co 0.0000 0.5000 0.0000  1.04
Co 0.0000 0.0000 0.1487  0.07
Co 0.5000 0.5000 0.0000  1.04
Co 0.5000 0.0000 0.5000  1.04
Co 0.5000 0.5000 0.5000  1.04
Co 0.0000 0.0000 0.6487  0.07
Co 0.0000 0.0000 0.8513  0.07
O 0.6487 0.8244 0.4205  0.02
O 0.1757 0.3513 0.0795  0.03
O 0.7129 0.8564 0.7500  0.06
O 0.1757 0.8244 0.0795  0.03
O 0.6487 0.8244 0.0795  0.02
O 0.8243 0.6487 0.5795  0.03
O 0.1757 0.3513 0.4205  0.03
O 0.8243 0.6487 0.9205  0.03
O 0.1436 0.2871 0.7500  0.06
O 0.6667 0.3333 0.4199  -0.08
O 0.2871 0.1436 0.2500  0.06
O 0.8243 0.1756 0.5795  0.03
O 0.3513 0.1756 0.5795  0.02
O 0.3333 0.6667 0.5801  -0.08
O 0.1436 0.8564 0.7500  0.06
O 0.8564 0.1436 0.2500  0.06
O 0.3513 0.1756 0.9205  0.02
O 0.3333 0.6667 0.9199  -0.08
O 0.8564 0.7129 0.2500  0.06
O 0.6667 0.3333 0.0801  -0.08
O 0.1757 0.8244 0.4205  0.03
O 0.8243 0.1756 0.9205  0.03
Sr 0.3333 0.6666 0.2500  0.01
Sr 0.6667 0.3334 0.7500  0.01

Properties
Space-group type: P6_3/mmc (194)
E_tot: -5.96 eV per atom